Entry 1:
TbCu2H8Ir | GGA-PBE | relaxed

abc: 4.4060 4.5562 6.0686
angles: 60.02 89.43 93.29
Fractional positions:
H  0.7906  0.7366  0.9328
H  0.0842  0.6410  0.2749
H  0.5163  0.2619  0.4418
H  0.4837  0.7381  0.5582
H  0.2094  0.2634  0.0672
H  0.7107  0.0768  0.1460
H  0.9158  0.3590  0.7251
H  0.2893  0.9232  0.8540
Cu  0.4806  0.6803  0.2715
Cu  0.5194  0.3197  0.7285
Tb  0.0000  0.0000  0.5000
Ir  0.0000  0.0000  0.0000

Values from the calculation:
Crystal system   triclinic
Raw total energy   -4.247 eV/atom
Space-group type   P-1 (2)


Entry 2:
TbCuH8Ir2 | GGA-PBE | relaxed

abc: 4.4181 4.6300 6.1246
angles: 66.96 68.86 61.50
Fractional positions:
H  0.7578  0.3829  0.1014
H  0.5798  0.0229  0.3196
H  0.9222  0.9771  0.6804
H  0.4202  0.9771  0.6804
H  0.9313  0.4682  0.6692
H  0.0778  0.0229  0.3196
H  0.0687  0.5318  0.3308
H  0.2422  0.6171  0.8986
Tb  0.5000  0.5000  0.5000
Ir  0.2884  0.2734  0.1499
Ir  0.7116  0.7266  0.8501
Cu  0.0000  0.0000  0.0000

Values from the calculation:
Crystal system   monoclinic
Raw total energy   -4.605 eV/atom
Space-group type   C2/m (12)


Entry 3:
TbCuH6Ir2 | GGA-PBE | relaxed

abc: 5.9737 5.9737 5.3634
angles: 101.12 101.12 95.90
Fractional positions:
Tb  0.1820  0.8180  0.2500
Tb  0.8180  0.1820  0.7500
H  0.0853  0.5363  0.8577
H  0.4905  0.3294  0.8879
H  0.3294  0.4905  0.3879
H  0.9147  0.4637  0.1423
H  0.5095  0.6706  0.1121
H  0.8517  0.8481  0.9370
H  0.8481  0.8517  0.4370
H  0.1483  0.1519  0.0630
H  0.4637  0.9147  0.6423
H  0.6706  0.5095  0.6121
H  0.5363  0.0853  0.3577
H  0.1519  0.1483  0.5630
Ir  0.3241  0.0674  0.8279
Ir  0.6759  0.9326  0.1721
Ir  0.0674  0.3241  0.3279
Ir  0.9326  0.6759  0.6721
Cu  0.3987  0.6013  0.7500
Cu  0.6013  0.3987  0.2500

Values from the calculation:
Crystal system   monoclinic
Raw total energy   -4.905 eV/atom
Space-group type   C2/c (15)


Entry 4:
CuTeHIr2 | GGA-PBE | relaxed

abc: 4.9068 4.9525 4.9068
angles: 90.00 90.00 90.00
Each line ends with the local moment (μB).
Fractional positions:
Ir  0.0000  0.0000  0.5000  0.39
Ir  0.5000  0.0000  0.0000  0.50
Te  0.0000  0.0000  0.0000  0.02
Cu  0.0000  0.5000  0.0000  0.03
H  0.5000  0.5000  0.5000  0.33

Values from the calculation:
Crystal system   tetragonal
Raw total energy   -3.753 eV/atom
Space-group type   P4/mmm (123)


Entry 5:
ThCuH6Ir2 | GGA-PBE | relaxed

abc: 4.5966 4.5966 5.7373
angles: 66.38 66.38 60.00
Fractional positions:
Ir  0.7904  0.7904  0.6289
Ir  0.2096  0.2096  0.3711
Cu  0.5000  0.5000  0.5000
H  0.9145  0.4443  0.1966
H  0.5557  0.5555  0.8034
H  0.5555  0.0855  0.8034
H  0.4445  0.9145  0.1966
H  0.0855  0.5557  0.8034
H  0.4443  0.4445  0.1966
Th  0.0000  0.0000  0.0000

Values from the calculation:
Crystal system   trigonal
Raw total energy   -5.233 eV/atom
Space-group type   R-3m (166)


Entry 6:
TiCu2HIr | GGA-PBE | relaxed

abc: 3.7235 3.7235 4.0691
angles: 90.00 90.00 90.00
Fractional positions:
H  0.0000  0.0000  0.0000
Cu  0.0000  0.5000  0.0000
Cu  0.5000  0.0000  0.0000
Ti  0.0000  0.0000  0.5000
Ir  0.5000  0.5000  0.5000

Values from the calculation:
Crystal system   tetragonal
Raw total energy   -5.857 eV/atom
Space-group type   P4/mmm (123)


Entry 7:
Ti2CuHIr | GGA-PBE | relaxed

abc: 4.0346 4.0346 3.7711
angles: 90.00 90.00 90.00
Fractional positions:
H  0.0000  0.0000  0.0000
Ir  0.0000  0.0000  0.5000
Ti  0.5000  0.0000  0.0000
Ti  0.0000  0.5000  0.0000
Cu  0.5000  0.5000  0.5000

Values from the calculation:
Crystal system   tetragonal
Raw total energy   -6.783 eV/atom
Space-group type   P4/mmm (123)


Entry 8:
Ti2CuHIr | GGA-PBE | relaxed

abc: 4.0304 4.0304 3.7120
angles: 90.00 90.00 90.00
Fractional positions:
Ir  0.5000  0.5000  0.5000
H  0.0000  0.0000  0.0000
Ti  0.0000  0.5000  0.0000
Ti  0.5000  0.0000  0.0000
Cu  0.0000  0.0000  0.5000

Values from the calculation:
Crystal system   tetragonal
Raw total energy   -6.838 eV/atom
Space-group type   P4/mmm (123)


Entry 9:
TlCuH6Ir | GGA-PBE | relaxed

abc: 4.8731 3.9280 5.8927
angles: 88.74 91.98 66.64
Fractional positions:
H  0.0140  0.4316  0.2848
H  0.5532  0.3762  0.6542
H  0.5753  0.1143  0.2980
H  0.0304  0.4701  0.6758
H  0.4974  0.9788  0.6793
H  0.2683  0.7627  0.4521
Tl  0.0430  0.9377  0.9938
Cu  0.7137  0.6255  0.4762
Ir  0.3044  0.3031  0.4857

Values from the calculation:
Crystal system   triclinic
Raw total energy   -3.857 eV/atom
Space-group type   P1 (1)


Entry 10:
TlCuH8Ir2 | GGA-PBE | relaxed

abc: 4.6162 4.6162 7.3726
angles: 71.76 71.76 60.00
Fractional positions:
H  0.7767  0.7767  0.6699
H  0.0717  0.3749  0.8428
H  0.3749  0.7106  0.8428
H  0.9283  0.6251  0.1572
H  0.7106  0.0717  0.8428
H  0.2233  0.2233  0.3301
H  0.6251  0.2894  0.1572
H  0.2894  0.9283  0.1572
Ir  0.3008  0.3008  0.0975
Ir  0.6992  0.6992  0.9025
Cu  0.0000  0.0000  0.0000
Tl  0.5000  0.5000  0.5000

Values from the calculation:
Crystal system   trigonal
Raw total energy   -4.126 eV/atom
Space-group type   R-3 (148)


Entry 11:
TmCuH8Ir2 | GGA-PBE | relaxed

abc: 4.3817 4.6185 6.0865
angles: 65.98 68.90 61.68
Fractional positions:
H  0.0800  0.0110  0.3213
H  0.2431  0.6183  0.8956
H  0.5876  0.0110  0.3213
H  0.9271  0.4887  0.6571
H  0.9200  0.9890  0.6787
H  0.7569  0.3817  0.1044
H  0.4124  0.9890  0.6787
H  0.0729  0.5113  0.3429
Cu  0.0000  0.0000  0.0000
Ir  0.7105  0.7319  0.8472
Ir  0.2895  0.2681  0.1528
Tm  0.5000  0.5000  0.5000

Values from the calculation:
Crystal system   monoclinic
Raw total energy   -4.574 eV/atom
Space-group type   C2/m (12)


Entry 12:
TmCuH6Ir2 | GGA-PBE | relaxed

abc: 5.9234 5.9234 5.2953
angles: 100.75 100.75 96.15
Fractional positions:
Ir  0.3247  0.0669  0.8245
Ir  0.6753  0.9331  0.1755
Ir  0.9331  0.6753  0.6755
Ir  0.0669  0.3247  0.3245
Tm  0.1807  0.8193  0.2500
Tm  0.8193  0.1807  0.7500
H  0.4645  0.9123  0.6370
H  0.8551  0.8519  0.9410
H  0.3289  0.4958  0.3823
H  0.9123  0.4645  0.1370
H  0.4958  0.3289  0.8823
H  0.6711  0.5042  0.6177
H  0.1481  0.1449  0.5590
H  0.5355  0.0877  0.3630
H  0.1449  0.1481  0.0590
H  0.8519  0.8551  0.4410
H  0.0877  0.5355  0.8630
H  0.5042  0.6711  0.1177
Cu  0.5991  0.4009  0.2500
Cu  0.4009  0.5991  0.7500

Values from the calculation:
Crystal system   monoclinic
Raw total energy   -4.891 eV/atom
Space-group type   C2/c (15)


Entry 13:
UCuH8Ir2 | GGA-PBE | relaxed

abc: 4.4521 4.5637 6.1417
angles: 68.90 68.75 60.81
Each line ends with the local moment (μB).
Fractional positions:
H  0.2508  0.6030  0.8954  0.00
H  0.0725  0.0329  0.3240  0.00
H  0.4294  0.9671  0.6760  0.00
H  0.9275  0.9671  0.6760  0.00
H  0.5706  0.0329  0.3240  0.00
H  0.7492  0.3970  0.1046  0.00
H  0.0554  0.5666  0.3225  -0.01
H  0.9446  0.4334  0.6775  -0.01
Ir  0.7127  0.7213  0.8534  0.07
Ir  0.2873  0.2787  0.1466  0.07
Cu  0.0000  0.0000  0.0000  -0.02
U  0.5000  0.5000  0.5000  2.48

Values from the calculation:
Crystal system   monoclinic
Raw total energy   -5.006 eV/atom
Space-group type   C2/m (12)


Entry 14:
V2CuHIr | GGA-PBE | relaxed

abc: 3.7907 3.7907 3.8598
angles: 90.00 90.00 90.00
Fractional positions:
Ir  0.0000  0.0000  0.5000
V  0.5000  0.0000  0.0000
V  0.0000  0.5000  0.0000
Cu  0.5000  0.5000  0.5000
H  0.0000  0.0000  0.0000

Values from the calculation:
Crystal system   tetragonal
Raw total energy   -7.031 eV/atom
Space-group type   P4/mmm (123)


Entry 15:
VCu2HIr | GGA-PBE | relaxed

abc: 3.6531 3.6531 4.0727
angles: 90.00 90.00 90.00
Fractional positions:
V  0.0000  0.0000  0.5000
Cu  0.0000  0.5000  0.0000
Cu  0.5000  0.0000  0.0000
Ir  0.5000  0.5000  0.5000
H  0.0000  0.0000  0.0000

Values from the calculation:
Crystal system   tetragonal
Raw total energy   -5.849 eV/atom
Space-group type   P4/mmm (123)


Entry 16:
VCu2HIr | GGA-PBE | relaxed

abc: 4.7329 4.4843 4.7329
angles: 90.00 90.00 90.00
Each line ends with the local moment (μB).
Fractional positions:
H  0.5000  0.5000  0.5000  0.06
Cu  0.5000  0.0000  0.0000  0.00
Cu  0.0000  0.0000  0.5000  0.04
V  0.0000  0.5000  0.0000  0.14
Ir  0.0000  0.0000  0.0000  0.07

Values from the calculation:
Crystal system   tetragonal
Raw total energy   -4.484 eV/atom
Space-group type   P4/mmm (123)


Entry 17:
V2CuHIr | GGA-PBE | relaxed

abc: 3.7731 3.7731 3.8494
angles: 90.00 90.00 90.00
Fractional positions:
V  0.5000  0.0000  0.0000
V  0.0000  0.5000  0.0000
H  0.0000  0.0000  0.0000
Cu  0.0000  0.0000  0.5000
Ir  0.5000  0.5000  0.5000

Values from the calculation:
Crystal system   tetragonal
Raw total energy   -7.075 eV/atom
Space-group type   P4/mmm (123)


Entry 18:
Y2CuHIr | GGA-PBE | relaxed

abc: 4.9463 4.9463 3.5632
angles: 90.00 90.00 90.00
Fractional positions:
Y  0.0000  0.5000  0.0000
Y  0.5000  0.0000  0.0000
Ir  0.0000  0.0000  0.5000
H  0.0000  0.0000  0.0000
Cu  0.5000  0.5000  0.5000

Values from the calculation:
Crystal system   tetragonal
Raw total energy   -6.345 eV/atom
Space-group type   P4/mmm (123)


Entry 19:
Y2CuHIr | GGA-PBE | relaxed

abc: 4.8810 4.8810 3.5265
angles: 90.00 90.00 90.00
Fractional positions:
Y  0.0000  0.5000  0.0000
Y  0.5000  0.0000  0.0000
H  0.0000  0.0000  0.0000
Ir  0.5000  0.5000  0.5000
Cu  0.0000  0.0000  0.5000

Values from the calculation:
Crystal system   tetragonal
Raw total energy   -6.375 eV/atom
Space-group type   P4/mmm (123)


Entry 20:
Y2CuHIr | GGA-PBE | relaxed

abc: 5.2248 4.4890 5.2248
angles: 90.00 90.00 90.00
Fractional positions:
Ir  0.0000  0.5000  0.0000
Cu  0.0000  0.0000  0.0000
H  0.5000  0.5000  0.5000
Y  0.5000  0.0000  0.0000
Y  0.0000  0.0000  0.5000

Values from the calculation:
Crystal system   tetragonal
Raw total energy   -5.237 eV/atom
Space-group type   P4/mmm (123)


Entry 21:
ZnCu2HIr | GGA-PBE | relaxed

abc: 3.8122 3.8122 3.7996
angles: 90.00 90.00 90.00
Fractional positions:
Cu  0.5000  0.0000  0.0000
Cu  0.0000  0.5000  0.0000
Zn  0.5000  0.5000  0.5000
H  0.0000  0.0000  0.0000
Ir  0.0000  0.0000  0.5000

Values from the calculation:
Crystal system   tetragonal
Raw total energy   -4.388 eV/atom
Space-group type   P4/mmm (123)


Entry 22:
Zr2CuHIr | GGA-PBE | relaxed

abc: 4.4432 4.4432 3.7571
angles: 90.00 90.00 90.00
Fractional positions:
Ir  0.0000  0.0000  0.5000
H  0.0000  0.0000  0.0000
Cu  0.5000  0.5000  0.5000
Zr  0.5000  0.0000  0.0000
Zr  0.0000  0.5000  0.0000

Values from the calculation:
Crystal system   tetragonal
Raw total energy   -7.050 eV/atom
Space-group type   P4/mmm (123)


Entry 23:
Zr2CuHIr | GGA-PBE | relaxed

abc: 4.5406 4.5406 3.5418
angles: 90.00 90.00 90.00
Fractional positions:
Cu  0.0000  0.0000  0.5000
Zr  0.5000  0.0000  0.0000
Zr  0.0000  0.5000  0.0000
H  0.0000  0.0000  0.0000
Ir  0.5000  0.5000  0.5000

Values from the calculation:
Crystal system   tetragonal
Raw total energy   -7.121 eV/atom
Space-group type   P4/mmm (123)


Entry 24:
ZrCuH8Ir2 | GGA-PBE | relaxed

abc: 4.1526 4.7314 6.0530
angles: 62.18 69.94 63.97
Fractional positions:
H  0.6236  0.9656  0.3171
H  0.3764  0.0344  0.6829
H  0.2725  0.5938  0.8612
H  0.7275  0.4062  0.1388
H  0.0937  0.9656  0.3171
H  0.0975  0.4371  0.3680
H  0.9063  0.0344  0.6829
H  0.9025  0.5629  0.6320
Cu  0.0000  0.0000  0.0000
Zr  0.5000  0.5000  0.5000
Ir  0.2996  0.2518  0.1491
Ir  0.7004  0.7482  0.8509

Values from the calculation:
Crystal system   monoclinic
Raw total energy   -4.779 eV/atom
Space-group type   C2/m (12)